(1)
# TbTm4Th4 (PBE, optimized geometry)
# V: 31.4 Å³ per atom
# magnetic moment: 0.00 μB/cell
# formation energy from the elements: 42 meV/atom
# DOS at the Fermi energy: 28.337 states/eV per cell
data_TbTm4Th4
_cell_length_a 10.617
_cell_length_b 10.617
_cell_length_c 5.013
_cell_angle_alpha 90.00
_cell_angle_beta 90.00
_cell_angle_gamma 90.00
_symmetry_space_group_name_H-M 'I 4/m m m'
_symmetry_Int_Tables_number 139
_symmetry_space_group_name_Hall '-I 4 2'
loop_
_atom_site_label
_atom_site_type_symbol
_atom_site_fract_x
_atom_site_fract_y
_atom_site_fract_z
Tb1 Tb 0.000 0.000 0.000
Tm1 Tm 0.000 0.332 0.000
Th1 Th 0.167 0.167 0.500

(2)
# Tb2Tm7Th (PBE, optimized geometry)
# V: 37.7 Å³ per atom
# magnetic moment: 0.00 μB/cell
# formation energy from the elements: 731 meV/atom
# DOS at the Fermi energy: 31.852 states/eV per cell
data_Tb2Tm7Th
_cell_length_a 8.573
_cell_length_b 17.130
_cell_length_c 5.134
_cell_angle_alpha 90.00
_cell_angle_beta 90.00
_cell_angle_gamma 90.00
_symmetry_space_group_name_H-M 'C m m m'
_symmetry_Int_Tables_number 65
_symmetry_space_group_name_Hall '-C 2 2'
loop_
_atom_site_label
_atom_site_type_symbol
_atom_site_fract_x
_atom_site_fract_y
_atom_site_fract_z
Tb1 Tb 0.000 0.201 0.000
Tm1 Tm 0.000 0.000 0.000
Tm2 Tm 0.000 0.305 0.500
Tm3 Tm 0.178 0.393 0.000
Th1 Th 0.000 0.500 0.500

(3)
# Tb3Tm8Th3 (PBE, optimized geometry)
# V: 31.5 Å³ per atom
# magnetic moment: 0.00 μB/cell
# formation energy from the elements: 149 meV/atom
# DOS at the Fermi energy: 39.807 states/eV per cell
data_Tb3Tm8Th3
_cell_length_a 5.575
_cell_length_b 10.634
_cell_length_c 14.863
_cell_angle_alpha 90.00
_cell_angle_beta 90.00
_cell_angle_gamma 90.00
_symmetry_space_group_name_H-M 'I m m m'
_symmetry_Int_Tables_number 71
_symmetry_space_group_name_Hall '-I 2 2'
loop_
_atom_site_label
_atom_site_type_symbol
_atom_site_fract_x
_atom_site_fract_y
_atom_site_fract_z
Tb1 Tb 0.000 0.000 0.000
Tb2 Tb 0.000 0.305 0.000
Tm1 Tm 0.000 0.158 0.224
Tm2 Tm 0.000 0.341 0.397
Th1 Th 0.000 0.000 0.500
Th2 Th 0.000 0.500 0.186

(4)
# Tb6TmTh (PBE, optimized geometry)
# V: 32.0 Å³ per atom
# energy above the most stable polymorph in this dataset: 180 meV per atom
# magnetic moment: 0.00 μB/cell
# formation energy from the elements: 214 meV/atom
# DOS at the Fermi energy: 14.170 states/eV per cell
data_Tb6TmTh
_cell_length_a 6.598
_cell_length_b 6.615
_cell_length_c 6.744
_cell_angle_alpha 60.70
_cell_angle_beta 87.04
_cell_angle_gamma 87.71
_symmetry_space_group_name_H-M 'P -1'
_symmetry_Int_Tables_number 2
_symmetry_space_group_name_Hall '-P 1'
loop_
_atom_site_label
_atom_site_type_symbol
_atom_site_fract_x
_atom_site_fract_y
_atom_site_fract_z
Tb1 Tb 0.246 0.069 0.011
Tb2 Tb 0.252 0.567 0.008
Tb3 Tb 0.253 0.027 0.512
Tm1 Tm 0.000 0.500 0.500
Th1 Th 0.500 0.500 0.500

(5)
# TbTm3Th (PBE, optimized geometry)
# V: 31.5 Å³ per atom
# energy above the most stable polymorph in this dataset: 0 meV per atom
# magnetic moment: 0.00 μB/cell
# formation energy from the elements: 146 meV/atom
# DOS at the Fermi energy: 55.020 states/eV per cell
data_TbTm3Th
_cell_length_a 8.837
_cell_length_b 14.575
_cell_length_c 10.011
_cell_angle_alpha 90.00
_cell_angle_beta 102.29
_cell_angle_gamma 90.00
_symmetry_space_group_name_H-M 'C 1 2/c 1'
_symmetry_Int_Tables_number 15
_symmetry_space_group_name_Hall '-C 2yc'
loop_
_atom_site_label
_atom_site_type_symbol
_atom_site_fract_x
_atom_site_fract_y
_atom_site_fract_z
Tb1 Tb 0.000 0.009 0.250
Tb2 Tb 0.000 0.401 0.750
Tm1 Tm 0.076 0.188 0.951
Tm2 Tm 0.092 0.399 0.118
Tm3 Tm 0.199 0.226 0.324
Th1 Th 0.227 0.046 0.543

(6)
# Tb2Tm4Th5 (PBE, optimized geometry)
# V: 32.1 Å³ per atom
# magnetic moment: 0.00 μB/cell
# formation energy from the elements: 155 meV/atom
# DOS at the Fermi energy: 17.144 states/eV per cell
data_Tb2Tm4Th5
_cell_length_a 8.765
_cell_length_b 3.413
_cell_length_c 11.797
_cell_angle_alpha 90.00
_cell_angle_beta 90.94
_cell_angle_gamma 90.00
_symmetry_space_group_name_H-M 'P 1 2/m 1'
_symmetry_Int_Tables_number 10
_symmetry_space_group_name_Hall '-P 2y'
loop_
_atom_site_label
_atom_site_type_symbol
_atom_site_fract_x
_atom_site_fract_y
_atom_site_fract_z
Tb1 Tb 0.139 0.000 0.393
Tm1 Tm 0.041 0.500 0.138
Tm2 Tm 0.428 0.500 0.231
Th1 Th 0.226 0.000 0.691
Th2 Th 0.311 0.000 0.964
Th3 Th 0.500 0.000 0.500

(7)
# Tb2Tm7Th2 (PBE, optimized geometry)
# V: 31.5 Å³ per atom
# energy above the most stable polymorph in this dataset: 0 meV per atom
# magnetic moment: 0.00 μB/cell
# formation energy from the elements: 181 meV/atom
# DOS at the Fermi energy: 34.344 states/eV per cell
data_Tb2Tm7Th2
_cell_length_a 11.002
_cell_length_b 11.359
_cell_length_c 6.063
_cell_angle_alpha 90.00
_cell_angle_beta 113.69
_cell_angle_gamma 90.00
_symmetry_space_group_name_H-M 'C 1 2/m 1'
_symmetry_Int_Tables_number 12
_symmetry_space_group_name_Hall '-C 2y'
loop_
_atom_site_label
_atom_site_type_symbol
_atom_site_fract_x
_atom_site_fract_y
_atom_site_fract_z
Tb1 Tb 0.000 0.213 0.000
Tm1 Tm 0.000 0.000 0.500
Tm2 Tm 0.173 0.239 0.672
Tm3 Tm 0.239 0.000 0.077
Th1 Th 0.090 0.500 0.310

(8)
# TbTm2Th (PBE, optimized geometry)
# V: 31.0 Å³ per atom
# energy above the most stable polymorph in this dataset: 13 meV per atom
# magnetic moment: 0.00 μB/cell
# formation energy from the elements: 35 meV/atom
# DOS at the Fermi energy: 5.829 states/eV per cell
data_TbTm2Th
_cell_length_a 5.010
_cell_length_b 5.010
_cell_length_c 4.944
_cell_angle_alpha 90.00
_cell_angle_beta 90.00
_cell_angle_gamma 90.00
_symmetry_space_group_name_H-M 'P 4/m m m'
_symmetry_Int_Tables_number 123
_symmetry_space_group_name_Hall '-P 4 2'
loop_
_atom_site_label
_atom_site_type_symbol
_atom_site_fract_x
_atom_site_fract_y
_atom_site_fract_z
Tb1 Tb 0.000 0.000 0.000
Tm1 Tm 0.000 0.500 0.500
Th1 Th 0.500 0.500 0.000